[1]
Entry from the Alexandria database: a geometry-optimized Nb2TlS6 structure (PBE).

Geometry as POSCAR:
```
Nb2TlS6
1.0
4.752 0.000 0.000
2.376 6.122 0.094
2.376 2.714 7.985
Nb Tl S
2 1 6
Direct
0.190 0.758 0.861
0.810 0.242 0.139
0.000 0.500 0.500
0.694 0.666 0.946
0.306 0.334 0.054
0.990 0.848 0.173
0.319 0.766 0.596
0.010 0.152 0.827
0.681 0.234 0.404
```

***

[2]
Entry from the Alexandria database: a geometry-optimized NbTlS2 structure (PBE).

Geometry as POSCAR:
```
NbTlS2
1.0
1.623 -14.882 0.000
1.623 14.882 0.000
0.000 0.000 3.735
S Tl Nb
4 2 2
Direct
0.219 0.781 0.250
0.781 0.219 0.750
0.870 0.130 0.250
0.130 0.870 0.750
0.053 0.947 0.250
0.947 0.053 0.750
0.308 0.692 0.250
0.692 0.308 0.750
```

***

[3]
Entry from the Alexandria database: a geometry-optimized NbTlS2 structure (PBE).

Geometry as POSCAR:
```
NbTlS2
1.0
-1.433 3.019 0.521
-1.614 -2.822 0.932
3.951 0.456 8.225
S Tl Nb
2 1 1
Direct
0.333 0.667 0.819
0.667 0.333 0.163
0.333 0.667 0.482
0.000 0.000 0.990
```

***

[4]
Entry from the Alexandria database: a geometry-optimized Nb4TlS8 structure (PBE).

Values from the calculation:
Polymorph energy (0 for the lowest one) in meV per atom: 0

Geometry as POSCAR:
```
Nb4TlS8
1.0
6.164 0.000 2.811
2.441 5.660 2.811
-0.404 -0.266 9.051
Nb Tl S
4 1 8
Direct
0.000 0.500 0.000
0.500 0.500 0.000
0.500 0.000 0.000
0.000 0.000 0.000
0.500 0.500 0.500
0.731 0.230 0.810
0.770 0.269 0.190
0.269 0.770 0.190
0.770 0.770 0.190
0.730 0.730 0.810
0.270 0.270 0.190
0.230 0.230 0.810
0.230 0.731 0.810
```

***

| no. | ΔE_f (raw) (eV/f.u.) | electronic total energy (eV/atom) | magnetic moment (μB/cell) |
| --- | --- | --- | --- |
| 1 | -5.34 | -5.85 | 0.00 |
| 2 | -2.55 | -5.81 | 0.00 |
| 3 | -3.14 | -5.96 | 0.00 |
| 4 | -12.58 | -6.79 | 0.00 |